This record from the Alexandria database describes a relaxed structure of TlCd2Cl. The functional is PBE.

a = 5.424 Å, b = 5.424 Å, c = 5.424 Å
α = 60.00°, β = 60.00°, γ = 60.00°
Sites, in units of the cell vectors:
Tl 0.000 0.000 0.000
Cd 0.500 0.500 0.500
Cd 0.750 0.750 0.750
Cl 0.250 0.250 0.250

Summary:
- DOS(E_F) (states/eV per cell) = 0.57
- offset from the most stable computed form (meV per atom) = 83
- magnetization (μB per formula unit) = 0.000
- ΔE_f (raw) (eV per atom) = -0.24

This record from the Alexandria database describes a relaxed structure of CeTm2Sc5. The functional is PBE.

a = 6.654 Å, b = 13.330 Å, c = 4.766 Å
α = 90.00°, β = 90.00°, γ = 90.00°
Sites, in units of the cell vectors:
Ce 0.000 0.000 0.000
Ce 0.500 0.500 0.000
Tm 0.245 0.374 0.500
Tm 0.255 0.874 0.500
Tm 0.745 0.126 0.500
Tm 0.755 0.626 0.500
Sc 0.000 0.500 0.000
Sc 0.008 0.749 0.000
Sc 0.241 0.124 0.500
Sc 0.259 0.624 0.500
Sc 0.492 0.249 0.000
Sc 0.500 0.000 0.000
Sc 0.508 0.751 0.000
Sc 0.741 0.376 0.500
Sc 0.759 0.876 0.500
Sc 0.992 0.251 0.000

Summary:
- ΔE_f (eV/atom) = 0.0636
- DOS(E_F) (states/eV per cell) = 29.63
- offset from the most stable computed form (meV per atom) = 0
- magnetization (μB per formula unit) = 0.733

This record from the Alexandria database describes a relaxed structure of CuTcCl2. The functional is PBE.

a = 2.917 Å, b = 3.994 Å, c = 5.837 Å
α = 90.00°, β = 102.69°, γ = 90.00°
Sites, in units of the cell vectors:
Cu 0.000 0.000 0.000
Tc 0.000 0.000 0.500
Cl 0.136 0.500 0.748
Cl 0.864 0.500 0.252

Summary:
- DOS(E_F) (states/eV per cell) = 2.61
- offset from the most stable computed form (meV per atom) = 377
- magnetization (μB per formula unit) = 0.000
- ΔE_f (raw) (eV per atom) = 0.37